Record 1
The following is a DFT calculation (PBE) of crystalline Na2LaRe at its relaxed geometry.

```
Na2LaRe
1.0
4.105 0.000 0.000
0.000 4.105 0.000
0.000 0.000 24.309
Na La Re
8 4 4
Direct
0.222 0.250 0.125
0.250 0.722 0.375
0.250 0.778 0.875
0.278 0.250 0.625
0.722 0.750 0.625
0.750 0.222 0.875
0.750 0.278 0.375
0.778 0.750 0.125
0.000 0.000 0.500
0.000 0.500 0.750
0.500 0.000 0.250
0.500 0.500 0.000
0.000 0.000 0.000
0.000 0.500 0.250
0.500 0.000 0.750
0.500 0.500 0.500
```

Summary:
The energy above the lowest structure with this stoichiometry is 0 meV/atom. As for the energy relative to the elements: 848 meV per atom. The space group is No. 122. For the density of states at the Fermi level, the calculation gives 1.5368 states/eV/atom.

Record 2
The following is a DFT calculation (PBE) of crystalline ZrTe3C at its relaxed geometry.

```
ZrTe3C
1.0
4.768 0.000 0.000
0.000 4.768 0.000
0.000 0.000 4.768
Zr Te C
1 3 1
Direct
0.000 0.000 0.000
0.000 0.500 0.500
0.500 0.000 0.500
0.500 0.500 0.000
0.500 0.500 0.500
```

Summary:
The energy above the lowest structure with this stoichiometry is 0 meV/atom. The space group is No. 221. For the density of states at the Fermi level, the calculation gives 0.5872 states/eV/atom.